# 1
The following is a PBE calculation of a relaxed structure of LaSm3ErTh, from Alexandria via LeMat-Bulk.

## Properties
SG: No. 11
Calculated total energy (eV/atom): -5.142

Cell: 5.1153 8.1119 10.8456 Å, 116.35 90.00 90.00°
Closest atoms and distances in Å follow each position.
Positions (direct):
Er 0.2500 0.1292 0.6286  5 Sm 3.53-3.65, 3 La 3.60-3.61, 2 Th 3.62, 2 Er 3.68
Er 0.7500 0.8708 0.3714  5 Sm 3.53-3.65, 3 La 3.60-3.61, 2 Th 3.62, 2 Er 3.68
La 0.7500 0.8787 0.7072  3 Er 3.60-3.61, 8 Sm 3.63-3.72, 1 Th 3.63
La 0.2500 0.1213 0.2928  3 Er 3.60-3.61, 8 Sm 3.63-3.72, 1 Th 3.63
Sm 0.7500 0.3851 0.2051  3 Th 3.53-3.54, 1 Er 3.53, 6 Sm 3.61-3.79, 2 La 3.72
Sm 0.7500 0.3724 0.5454  3 Er 3.58-3.65, 1 Th 3.58, 5 Sm 3.61-3.74, 3 La 3.64-3.68
Sm 0.2500 0.1359 0.9561  1 Er 3.53, 3 Th 3.53-3.55, 5 Sm 3.62-3.79, 3 La 3.63-3.71
Sm 0.7500 0.8641 0.0439  1 Er 3.53, 3 Th 3.53-3.55, 5 Sm 3.62-3.79, 3 La 3.63-3.71
Sm 0.2500 0.6276 0.4546  3 Er 3.58-3.65, 1 Th 3.58, 5 Sm 3.61-3.74, 3 La 3.64-3.68
Sm 0.2500 0.6149 0.7949  3 Th 3.53-3.54, 1 Er 3.53, 6 Sm 3.61-3.79, 2 La 3.72
Th 0.2500 0.6212 0.1221  7 Sm 3.53-3.58, 2 Th 3.58, 2 Er 3.62, 1 La 3.63
Th 0.7500 0.3788 0.8779  7 Sm 3.53-3.58, 2 Th 3.58, 2 Er 3.62, 1 La 3.63

***

# 2
The following is a PBE calculation of a relaxed structure of ReAgSn2, from Alexandria via LeMat-Bulk.

## Properties
SG: No. 166
ΔE to the lowest computed polymorph (eV per formula unit): 0.51
Calculated total energy (eV/atom): -5.109

Cell: 2.9593 2.9593 11.2455 Å, 82.44 82.44 60.00°
Closest atoms and distances in Å follow each position.
Positions (direct):
Re 0.0000 0.0000 0.0000  2 Sn 2.82, 6 Re 2.96
Sn 0.0846 0.0846 0.7463  1 Re 2.82, 6 Sn 2.96
Sn 0.9154 0.9154 0.2537  1 Re 2.82, 6 Sn 2.96
Ag 0.5000 0.5000 0.5000  6 Ag 2.96, 6 Sn 3.23

***

no.,ΔE_f (eV/atom),V (Å³ per atom),magnetic moment (μB/atom)
1,0.036,33.61,0.000
2,0.717,21.07,0.000